An optimized crystal structure of RbTmMgSe3. Source: the Open Quantum Materials Database, functional PBE-GGA.

The structure in POSCAR format:
```
RbTmMgSe3
1.0
-7.139 8.372 0.859
-0.666 -0.142 -4.155
-11.573 -10.095 2.200
Se Mg Rb Tm
12 4 4 4
Cartesian
-5.503 -1.166 -0.144
-2.337 -1.058 -2.789
-7.633 4.276 0.011
-5.126 2.243 -2.454
-8.655 0.730 -1.837
-11.745 -6.141 -1.107
-13.876 -0.699 -0.951
-10.723 -2.595 0.741
-7.905 -5.870 0.401
-14.253 -4.108 1.359
-17.042 -0.807 1.693
-11.474 4.005 -1.497
-14.665 -1.607 1.340
-10.290 -5.090 0.757
-4.713 -0.258 -2.435
-9.089 3.225 -1.853
-5.970 6.176 -2.453
-8.057 -2.944 -1.807
-11.321 1.079 0.712
-13.409 -8.041 1.358
-12.824 -3.429 -1.026
-9.230 -7.593 -1.461
-10.149 5.728 0.365
-6.555 1.564 -0.069
```

Values from the calculation:
- VASP energy: -4.46 eV/atom

An optimized crystal structure of HfZr2Ni3As4Pd. Source: the Open Quantum Materials Database, functional PBE-GGA.

The structure in POSCAR format:
```
HfZr2Ni3As4Pd
1.0
6.468 0.000 0.000
0.000 3.850 0.000
-0.078 0.000 7.473
Ni As Zr Pd Hf
3 4 2 1 1
Cartesian
5.447 1.925 4.199
0.898 0.000 3.339
4.160 0.000 0.448
1.633 0.000 0.970
4.935 1.925 6.522
1.398 1.925 4.634
4.932 0.000 2.849
6.265 1.925 1.373
3.018 1.925 2.384
2.336 1.925 6.980
3.365 0.000 5.143
```

Values from the calculation:
- VASP energy: -6.92 eV/atom

An optimized crystal structure of CdSb2S3Br2. Source: the Open Quantum Materials Database, functional PBE-GGA.

The structure in POSCAR format:
```
CdSb2S3Br2
1.0
10.571 -1.975 0.000
10.571 1.975 0.000
-6.391 0.000 10.757
Br Sb Cd S
4 4 2 6
Cartesian
-1.301 0.000 5.780
12.559 0.000 7.015
2.192 0.000 3.742
16.052 0.000 4.977
-3.972 0.000 8.470
0.366 0.000 9.826
18.722 0.000 2.288
14.384 0.000 0.931
10.875 0.000 4.757
3.876 0.000 6.000
9.833 0.000 2.313
8.859 0.000 9.374
12.625 0.000 10.557
2.126 0.000 0.200
5.891 0.000 1.383
4.918 0.000 8.444
```

Values from the calculation:
- VASP energy: -3.59 eV/atom

An optimized crystal structure of Hf2ZrGa2. Source: the Open Quantum Materials Database, functional PBE-GGA.

The structure in POSCAR format:
```
Hf2ZrGa2
1.0
-2.013 2.013 6.205
2.013 -2.013 6.205
2.013 2.013 -6.205
Zr Hf Ga
1 2 2
Cartesian
0.000 0.000 0.000
0.000 2.013 3.102
2.013 0.000 3.102
0.000 0.000 5.029
0.000 0.000 7.380
```

Values from the calculation:
- VASP energy: -7.16 eV/atom

An optimized crystal structure of TbDySi2Au2. Source: the Open Quantum Materials Database, functional PBE-GGA.

The structure in POSCAR format:
```
TbDySi2Au2
1.0
-0.545 -3.067 -2.998
3.929 1.660 0.705
1.337 -5.413 5.294
Au Si Dy Tb
2 2 1 1
Cartesian
1.302 -2.932 -0.355
3.461 -4.060 3.524
2.738 -1.132 0.660
1.915 -5.413 2.072
0.669 -2.709 2.650
0.001 -0.003 0.003
```

Values from the calculation:
- VASP energy: -5.26 eV/atom

An optimized crystal structure of PuZrZn. Source: the Open Quantum Materials Database, functional PBE-GGA.

The structure in POSCAR format:
```
PuZrZn
1.0
0.000 3.333 3.333
3.333 0.000 3.333
3.333 3.333 0.000
Pu Zn Zr
1 1 1
Cartesian
3.333 3.333 3.333
1.667 1.667 1.667
0.000 0.000 0.000
```

Values from the calculation:
- ΔE_f: 333 meV per atom

An optimized crystal structure of DyHo2Ga3Ge2Pd. Source: the Open Quantum Materials Database, functional PBE-GGA.

The structure in POSCAR format:
```
DyHo2Ga3Ge2Pd
1.0
4.227 0.000 0.000
0.000 6.070 3.498
0.000 -6.070 3.498
Ga Ho Pd Dy Ge
3 2 1 1 2
Cartesian
2.113 -4.630 2.668
2.113 4.630 2.668
2.113 0.000 1.661
0.000 -3.573 4.934
0.000 3.573 4.934
0.000 0.000 0.009
0.000 0.000 4.115
2.113 -2.031 3.496
2.113 2.031 3.496
```

Values from the calculation:
- VASP energy: -4.92 eV/atom

An optimized crystal structure of HoGeIr. Source: the Open Quantum Materials Database, functional PBE-GGA.

The structure in POSCAR format:
```
HoGeIr
1.0
6.853 0.000 0.000
0.000 4.301 0.000
0.000 0.000 7.619
Ge Ir Ho
4 4 4
Cartesian
1.988 3.226 2.971
1.438 1.075 6.780
5.415 3.226 0.839
4.865 1.075 4.648
4.533 3.226 3.304
2.320 1.075 4.314
1.107 3.226 0.505
5.746 1.075 7.114
3.462 3.226 6.148
0.035 3.226 5.280
6.818 1.075 2.339
3.391 1.075 1.470
```

Values from the calculation:
- VASP energy: -6.96 eV/atom

An optimized crystal structure of NaHfCu3Se4. Source: the Open Quantum Materials Database, functional PBE-GGA.

The structure in POSCAR format:
```
NaHfCu3Se4
1.0
-1.286 -3.066 -4.966
0.181 -5.104 3.104
-5.833 0.518 1.191
Cu Se Na Hf
3 4 1 1
Cartesian
-3.560 -1.274 -1.887
-2.826 -2.293 2.148
-0.553 -4.085 -0.931
-4.517 -4.191 1.888
-5.222 -3.212 -1.987
-1.803 -1.989 -0.174
-2.334 -5.911 -1.068
0.000 0.000 0.000
-3.469 -3.826 -0.335
```

Values from the calculation:
- VASP energy: -4.73 eV/atom

An optimized crystal structure of CsRe2. Source: the Open Quantum Materials Database, functional PBE-GGA.

The structure in POSCAR format:
```
CsRe2
1.0
0.000 3.156 3.156
3.156 0.000 3.156
3.156 3.156 0.000
Re Cs
2 1
Cartesian
1.578 1.578 1.578
4.734 4.734 4.734
0.000 0.000 0.000
```

Values from the calculation:
- VASP energy: -4.81 eV/atom

An optimized crystal structure of Ta3Nb3Sn2. Source: the Open Quantum Materials Database, functional PBE-GGA.

The structure in POSCAR format:
```
Ta3Nb3Sn2
1.0
5.277 0.000 0.000
0.000 5.358 0.000
0.000 0.000 5.323
Sn Ta Nb
2 3 3
Cartesian
2.639 0.000 5.318
0.000 2.679 2.667
0.000 1.352 0.006
2.639 2.679 1.304
0.000 4.006 0.006
3.970 0.000 2.657
1.307 0.000 2.657
2.639 2.679 4.016
```

Values from the calculation:
- VASP energy: -9.34 eV/atom

An optimized crystal structure of Dy2Tm. Source: the Open Quantum Materials Database, functional PBE-GGA.

The structure in POSCAR format:
```
Dy2Tm
1.0
-0.222 -5.994 2.470
-0.193 -0.854 6.428
-5.431 -2.144 2.826
Dy Tm
4 2
Cartesian
-3.543 -2.623 6.092
-3.558 -5.193 4.113
-0.938 -4.548 5.914
-3.654 -5.621 7.327
0.000 0.000 0.000
-1.462 -2.248 2.931
```

Values from the calculation:
- ΔE_f: 262 meV per atom